[1]
PBE DyZr3Sc, optimized geometry; raw total energy = -71.87 eV for the cell shown; M_tot = 0.0 μB per formula unit; SG = Cmcm (63); ΔH_f (0 K) = 0.129 eV per atom
1.0
-5.093 0.469 1.323
1.490 -0.897 6.054
3.471 7.300 0.227
Dy Zr Sc
2 6 2
direct
0.509 0.750 0.018
0.491 0.250 0.982
0.697 0.996 0.393
0.303 0.004 0.607
0.303 0.496 0.607
0.697 0.504 0.393
0.129 0.750 0.257
0.871 0.250 0.743
0.882 0.750 0.764
0.118 0.250 0.236


[2]
PBE DyZr2Sc4, optimized geometry; raw total energy = -92.15 eV for the cell shown; M_tot = 0.0 μB per formula unit; energy above the lowest structure with this stoichiometry = 109 meV per atom; SG = Cmcm (63); ΔH_f (0 K) = 0.136 eV per atom
1.0
-0.166 1.229 4.397
4.129 -3.529 -1.231
9.161 11.744 -2.938
Dy Zr Sc
2 4 8
direct
0.439 0.877 0.750
0.561 0.123 0.250
0.201 0.403 0.441
0.799 0.597 0.941
0.201 0.403 0.059
0.799 0.597 0.559
0.892 0.784 0.134
0.892 0.784 0.366
0.108 0.216 0.866
0.108 0.216 0.634
0.741 0.483 0.750
0.259 0.517 0.250
0.500 0.000 0.000
0.500 0.000 0.500


[3]
PBE Dy3ZrSc4, optimized geometry; raw total energy = -94.66 eV for the cell shown; M_tot = 0.0 μB per formula unit; SG = Pmn2_1 (31); ΔH_f (0 K) = 0.044 eV per atom
1.0
5.918 0.000 0.000
0.000 6.832 0.000
0.000 0.000 10.640
Dy Zr Sc
6 2 8
direct
0.637 0.628 0.000
0.981 0.630 0.247
0.481 0.370 0.253
0.137 0.372 0.500
0.481 0.370 0.747
0.981 0.630 0.753
0.148 0.365 0.000
0.648 0.635 0.500
0.148 0.887 0.000
0.654 0.127 0.000
0.983 0.122 0.243
0.483 0.878 0.257
0.154 0.873 0.500
0.648 0.113 0.500
0.483 0.878 0.743
0.983 0.122 0.757


[4]
PBE DyZr2Sc4, optimized geometry; raw total energy = -46.84 eV for the cell shown; M_tot = 0.0 μB per formula unit; energy above the lowest structure with this stoichiometry = 0 meV per atom; SG = I4/mmm (139); ΔH_f (0 K) = 0.026 eV per atom
1.0
3.021 -0.906 0.846
0.689 3.078 0.845
0.418 0.245 17.689
Dy Zr Sc
1 2 4
direct
0.000 0.000 0.000
0.437 0.437 0.709
0.563 0.563 0.291
0.136 0.136 0.576
0.266 0.266 0.156
0.734 0.734 0.844
0.864 0.864 0.424


[5]
PBE DyZr4Sc8, optimized geometry; raw total energy = -86.16 eV for the cell shown; M_tot = 0.6 μB per formula unit; SG = R-3m (166); ΔH_f (0 K) = 0.253 eV per atom
1.0
3.031 2.136 -5.189
-1.560 -6.165 0.469
-9.911 -0.964 -2.268
Dy Zr Sc
1 4 8
direct
0.000 0.500 0.500
0.000 0.000 0.000
0.000 0.500 0.000
0.500 0.500 0.000
0.500 0.000 0.000
0.433 0.571 0.296
0.567 0.429 0.704
0.433 0.066 0.296
0.092 0.408 0.776
0.567 0.934 0.704
0.071 0.933 0.704
0.929 0.067 0.296
0.908 0.592 0.224


[6]
PBE DyZrSc2, optimized geometry; raw total energy = -25.58 eV for the cell shown; M_tot = 0.0 μB per formula unit; energy above the lowest structure with this stoichiometry = 21 meV per atom; SG = R-3m (166); ΔH_f (0 K) = 0.058 eV per atom
1.0
-0.844 -0.727 -3.116
1.804 -2.159 -1.742
-5.876 -9.010 1.937
Sc Zr Dy
2 1 1
direct
0.745 0.745 0.765
0.255 0.255 0.235
0.000 0.000 0.000
0.500 0.500 0.500


[7]
PBE Dy4ZrSc6, optimized geometry; raw total energy = -127.04 eV for the cell shown; M_tot = 1.3 μB per formula unit; SG = P4/mnc (128); ΔH_f (0 K) = 0.130 eV per atom
1.0
-6.705 4.748 -1.905
-4.868 -6.887 -0.031
-1.540 1.052 8.044
Dy Zr Sc
8 2 12
direct
0.351 0.149 0.250
0.149 0.649 0.750
0.649 0.851 0.750
0.851 0.351 0.750
0.351 0.149 0.750
0.149 0.649 0.250
0.851 0.351 0.250
0.649 0.851 0.250
0.500 0.500 0.000
0.000 0.000 0.500
0.351 0.847 0.500
0.851 0.653 0.000
0.653 0.149 0.000
0.153 0.351 0.500
0.000 0.000 0.168
0.500 0.500 0.332
0.347 0.851 0.000
0.000 0.000 0.832
0.149 0.347 0.000
0.500 0.500 0.668
0.847 0.649 0.500
0.649 0.153 0.500


[8]
PBE DyZrSc2, optimized geometry; raw total energy = -25.26 eV for the cell shown; M_tot = 0.9 μB per formula unit; energy above the lowest structure with this stoichiometry = 103 meV per atom; SG = Fm-3m (225); ΔH_f (0 K) = 0.139 eV per atom
1.0
-4.677 0.242 -2.342
-0.346 -0.431 -5.207
-2.083 -4.302 -2.138
Sc Zr Dy
2 1 1
direct
0.250 0.250 0.250
0.750 0.750 0.750
0.500 0.500 0.500
0.000 0.000 0.000